This record from the Alexandria database describes a geometry-optimized CaGa2RuO8 structure. The functional is PBE.

Energy relative to the elements, uncorrected = -1.34 eV/atom
Total magnetic moment = 1.134 μB/f.u.
E = -73.065 eV per formula unit

Geometry as POSCAR:
```
CaGa2RuO8
1.0
4.358 0.000 0.000
0.000 6.425 0.000
-0.054 0.000 4.828
Ca Ga Ru O
1 2 1 8
Cartesian
0.000 0.000 0.000 Ca
2.152 1.693 2.414 Ga
2.152 4.732 2.414 Ga
0.000 3.213 0.000 Ru
1.057 0.000 2.676 O
1.073 3.213 3.206 O
1.106 1.868 0.737 O
1.106 4.557 0.737 O
3.199 1.868 4.091 O
3.199 4.557 4.091 O
3.232 3.213 1.622 O
3.248 0.000 2.152 O
```